Record 1
Entry from Alexandria: a geometry-optimized Pr7HoTm2 structure (PBE).

Its total energy is -81.37 eV/cell. The value obtained for the magnetization is 0.000 μB per atom. The value obtained for the energy of formation from the pure elements is 629 meV per atom. The volume is 42.09 Å³ per atom.

The structure belongs to space group Cmmm (No. 65); the cell edges are 8.9660, 16.4346 and 5.7126 Å and the angles 90.00°, 90.00° and 90.00°. The asymmetric unit holds Pr at (0.0000, 0.0000, 0.0000), Pr at (0.0000, 0.2771, 0.5000), Pr at (0.1800, 0.3859, 0.0000), Ho at (0.0000, 0.5000, 0.5000) and Tm at (0.0000, 0.2050, 0.0000).

Record 2
Entry from Alexandria: a geometry-optimized Pr7Ho3Tm2 structure (PBE).

Its total energy is -54.96 eV/cell. The value obtained for the magnetization is 0.000 μB per atom. The value obtained for the energy of formation from the pure elements is 97 meV per atom. The volume is 34.14 Å³ per atom.

The structure belongs to space group P2/m (No. 10); the cell edges are 5.9030, 3.6302 and 19.1621 Å and the angles 90.00°, 93.94° and 90.00°. The asymmetric unit holds Pr at (0.0000, 0.0000, 0.0000), Pr at (0.1743, 0.5000, 0.1860), Pr at (0.2583, 0.5000, 0.5343), Pr at (0.3289, 0.0000, 0.8537), Ho at (0.2142, 0.0000, 0.3671), Ho at (0.5000, 0.5000, 0.0000) and Tm at (0.2964, 0.5000, 0.7014).

Record 3
Entry from Alexandria: a geometry-optimized PrHo4Tm4 structure (PBE).

Its total energy is -81.48 eV/cell. The value obtained for the magnetization is 0.000 μB per atom. The value obtained for the energy of formation from the pure elements is 26 meV per atom. The volume is 31.09 Å³ per atom.

The structure belongs to space group I4/mmm (No. 139); the cell edges are 10.5973, 10.5973 and 4.9839 Å and the angles 90.00°, 90.00° and 90.00°. The asymmetric unit holds Pr at (0.0000, 0.0000, 0.0000), Ho at (0.1681, 0.1681, 0.5000) and Tm at (0.0000, 0.3352, 0.0000).

Record 4
Entry from Alexandria: a geometry-optimized PrHo2Tm12 structure (PBE).

Its total energy is -66.54 eV/cell. The value obtained for the magnetization is 0.000 μB per atom. The value obtained for the energy of formation from the pure elements is 70 meV per atom. The volume is 30.97 Å³ per atom.

The structure belongs to space group P2/m (No. 10); the cell edges are 3.5766, 5.5937 and 23.2895 Å and the angles 90.00°, 94.36° and 90.00°. The asymmetric unit holds Pr at (0.0000, 0.0000, 0.0000), Ho at (0.1469, 0.0000, 0.2864), Tm at (0.1011, 0.5000, 0.1950), Tm at (0.2224, 0.5000, 0.4432), Tm at (0.2861, 0.0000, 0.5749), Tm at (0.3357, 0.5000, 0.6766), Tm at (0.4187, 0.0000, 0.8494) and Tm at (0.4672, 0.5000, 0.9309).

Record 5
Entry from Alexandria: a geometry-optimized Pr4HoTm15 structure (PBE).

Its total energy is -90.18 eV/cell. The value obtained for the magnetization is 0.000 μB per atom. The value obtained for the energy of formation from the pure elements is 29 meV per atom. The volume is 31.21 Å³ per atom.

The structure belongs to space group P4/mmm (No. 123); the cell edges are 5.0062, 5.0062 and 24.9027 Å and the angles 90.00°, 90.00° and 90.00°. The asymmetric unit holds Pr at (0.0000, 0.0000, 0.1006), Pr at (0.0000, 0.0000, 0.3009), Ho at (0.0000, 0.0000, 0.5000), Tm at (0.0000, 0.5000, 0.0000), Tm at (0.0000, 0.5000, 0.2010), Tm at (0.0000, 0.5000, 0.4021), Tm at (0.5000, 0.5000, 0.1004), Tm at (0.5000, 0.5000, 0.3017) and Tm at (0.5000, 0.5000, 0.5000).

Record 6
Entry from Alexandria: a geometry-optimized Pr2Ho2Tm structure (PBE).

Its total energy is -87.06 eV/cell. The value obtained for the magnetization is 0.000 μB per atom. The value obtained for the energy of formation from the pure elements is 284 meV per atom. The volume is 34.92 Å³ per atom.

The structure belongs to space group Cmcm (No. 63); the cell edges are 6.8921, 16.2093 and 6.2515 Å and the angles 90.00°, 90.00° and 90.00°. The asymmetric unit holds Pr at (0.0000, 0.0983, 0.2500), Pr at (0.0000, 0.3302, 0.7500), Ho at (0.2392, 0.3307, 0.2500) and Tm at (0.0000, 0.5000, 0.0000).